P.
Computed, not measured: CsYU after structural relaxation at the PBE level of DFT.

a = 5.9930 Å, b = 5.9930 Å, c = 10.1487 Å
α = 90.00°, β = 90.00°, γ = 120.00°
With the nearest neighbours (Å) after each atom.
Sites, in units of the cell vectors:
Cs (0.0000, 0.0000, 0.0000)  5 Y 3.35-3.46, 6 U 3.68
Cs (0.3333, 0.6667, 0.3355)  1 Cs 3.34, 4 Y 3.40-3.46
Cs (0.3333, 0.6667, 0.6645)  1 Cs 3.34, 4 Y 3.40-3.46
Y (0.0000, 0.0000, 0.3300)  4 Cs 3.35-3.46, 1 Y 3.45
Y (0.0000, 0.0000, 0.6700)  4 Cs 3.35-3.46, 1 Y 3.45
Y (0.3333, 0.6667, 0.0000)  5 Cs 3.40-3.46, 6 U 3.68
U (0.6667, 0.3333, 0.1232)  1 U 2.50
U (0.6667, 0.3333, 0.5000)  2 U 3.82, 6 Cs 3.84, 6 Y 3.87
U (0.6667, 0.3333, 0.8768)  1 U 2.50

Q.
Computed, not measured: CsYU after structural relaxation at the PBE level of DFT.

a = 5.9393 Å, b = 5.9393 Å, c = 5.9393 Å
α = 60.00°, β = 60.00°, γ = 60.00°
With the nearest neighbours (Å) after each atom.
Sites, in units of the cell vectors:
Cs (0.0000, 0.0000, 0.0000)  4 Y 3.64
Y (0.2500, 0.2500, 0.2500)  4 U 3.64, 4 Cs 3.64
U (0.5000, 0.5000, 0.5000)  4 Y 3.64

Most favorable first, least favorable last: P, Q

P.
Computed, not measured: CsZrW after structural relaxation at the PBE level of DFT.

a = 4.8855 Å, b = 4.8855 Å, c = 4.8855 Å
α = 60.00°, β = 60.00°, γ = 60.00°
With the nearest neighbours (Å) after each atom.
Sites, in units of the cell vectors:
Cs (0.0000, 0.0000, 0.0000)  4 W 2.99
Zr (0.5000, 0.5000, 0.5000)  4 W 2.99
W (0.2500, 0.2500, 0.2500)  4 Zr 2.99, 4 Cs 2.99

Q.
Computed, not measured: CsZrW after structural relaxation at the PBE level of DFT.

a = 4.7375 Å, b = 4.7375 Å, c = 4.7375 Å
α = 60.00°, β = 60.00°, γ = 60.00°
With the nearest neighbours (Å) after each atom.
Sites, in units of the cell vectors:
Cs (0.0000, 0.0000, 0.0000)  4 Zr 2.90, 4 W 2.90
Zr (0.2500, 0.2500, 0.2500)  4 Cs 2.90
W (0.7500, 0.7500, 0.7500)  4 Cs 2.90

Most favorable first, least favorable last: P, Q

P.
Computed, not measured: CsZn3 after structural relaxation at the PBE level of DFT.

a = 4.4181 Å, b = 7.5455 Å, c = 6.8508 Å
α = 90.00°, β = 90.00°, γ = 90.00°
With the nearest neighbours (Å) after each atom.
Sites, in units of the cell vectors:
Cs (0.2500, 0.2500, 0.0584)  6 Zn 3.64-4.01
Cs (0.7500, 0.7500, 0.9416)  6 Zn 3.64-4.01
Zn (0.2500, 0.0751, 0.5536)  6 Zn 2.55-2.64
Zn (0.2500, 0.4249, 0.5536)  6 Zn 2.55-2.64
Zn (0.2500, 0.7500, 0.4538)  6 Zn 2.55-2.57
Zn (0.7500, 0.2500, 0.5462)  6 Zn 2.55-2.57
Zn (0.7500, 0.5751, 0.4464)  6 Zn 2.55-2.64
Zn (0.7500, 0.9249, 0.4464)  6 Zn 2.55-2.64

Q.
Computed, not measured: CsZn3 after structural relaxation at the PBE level of DFT.

a = 7.7996 Å, b = 4.2940 Å, c = 8.0388 Å
α = 90.00°, β = 118.93°, γ = 90.00°
With the nearest neighbours (Å) after each atom.
Sites, in units of the cell vectors:
Cs (0.1696, 0.2500, 0.3394)  12 Zn 3.68-4.09
Cs (0.8304, 0.7500, 0.6606)  12 Zn 3.68-4.09
Zn (0.2687, 0.2500, 0.8878)  6 Zn 2.67-2.75
Zn (0.3824, 0.7500, 0.1137)  6 Zn 2.67-2.75
Zn (0.3860, 0.7500, 0.7731)  6 Zn 2.67-2.75
Zn (0.6140, 0.2500, 0.2269)  6 Zn 2.67-2.75
Zn (0.6176, 0.2500, 0.8863)  6 Zn 2.67-2.75
Zn (0.7313, 0.7500, 0.1122)  6 Zn 2.67-2.75

R.
Computed, not measured: CsZn3 after structural relaxation at the PBE level of DFT.

a = 8.0743 Å, b = 8.0743 Å, c = 4.2315 Å
α = 90.00°, β = 90.00°, γ = 120.00°
With the nearest neighbours (Å) after each atom.
Sites, in units of the cell vectors:
Cs (0.3333, 0.6667, 0.2500)  12 Zn 3.71-4.10
Cs (0.6667, 0.3333, 0.7500)  12 Zn 3.71-4.10
Zn (0.1151, 0.2303, 0.7500)  6 Zn 2.66-2.79
Zn (0.1151, 0.8849, 0.7500)  6 Zn 2.66-2.79
Zn (0.2303, 0.1151, 0.2500)  6 Zn 2.66-2.79
Zn (0.7697, 0.8849, 0.7500)  6 Zn 2.66-2.79
Zn (0.8849, 0.1151, 0.2500)  6 Zn 2.66-2.79
Zn (0.8849, 0.7697, 0.2500)  6 Zn 2.66-2.79

Most favorable first, least favorable last: P, R, Q

P.
Computed, not measured: Cs3Zn4 after structural relaxation at the PBE level of DFT.

a = 11.9653 Å, b = 4.8938 Å, c = 11.9680 Å
α = 90.00°, β = 119.98°, γ = 90.00°
With the nearest neighbours (Å) after each atom.
Sites, in units of the cell vectors:
Cs (0.0063, 0.2500, 0.3129)  4 Zn 3.59-3.76
Cs (0.3077, 0.2500, 0.9939)  4 Zn 3.59-3.76
Cs (0.3136, 0.7500, 0.3068)  4 Zn 3.59-3.76
Cs (0.6864, 0.2500, 0.6932)  4 Zn 3.59-3.76
Cs (0.6923, 0.7500, 0.0061)  4 Zn 3.59-3.76
Cs (0.9937, 0.7500, 0.6871)  4 Zn 3.59-3.76
Zn (0.2013, 0.7500, 0.5497)  4 Zn 2.59-2.87
Zn (0.3326, 0.2500, 0.6667)  6 Zn 2.86-2.87
Zn (0.3480, 0.7500, 0.7978)  4 Zn 2.58-2.86
Zn (0.4495, 0.7500, 0.6514)  4 Zn 2.58-2.87
Zn (0.5505, 0.2500, 0.3486)  4 Zn 2.58-2.87
Zn (0.6520, 0.2500, 0.2022)  4 Zn 2.58-2.86
Zn (0.6674, 0.7500, 0.3333)  6 Zn 2.86-2.87
Zn (0.7987, 0.2500, 0.4503)  4 Zn 2.59-2.87

Q.
Computed, not measured: Cs3Zn4 after structural relaxation at the PBE level of DFT.

a = 11.8043 Å, b = 4.7391 Å, c = 11.8110 Å
α = 90.00°, β = 119.96°, γ = 90.00°
With the nearest neighbours (Å) after each atom.
Sites, in units of the cell vectors:
Cs (0.0787, 0.2500, 0.4026)  6 Zn 3.67-3.87
Cs (0.3240, 0.2500, 0.9214)  6 Zn 3.67-3.88
Cs (0.4027, 0.7500, 0.3238)  6 Zn 3.67-3.87
Cs (0.5973, 0.2500, 0.6762)  6 Zn 3.67-3.87
Cs (0.6760, 0.7500, 0.0786)  6 Zn 3.67-3.88
Cs (0.9213, 0.7500, 0.5974)  6 Zn 3.67-3.87
Zn (0.0267, 0.7500, 0.1442)  6 Zn 2.71-2.84
Zn (0.1173, 0.7500, 0.9735)  6 Zn 2.71-2.84
Zn (0.1440, 0.2500, 0.1171)  6 Zn 2.71-2.84
Zn (0.3334, 0.7500, 0.6661)  6 Cs 3.87-3.88
Zn (0.6666, 0.2500, 0.3339)  6 Cs 3.87-3.88
Zn (0.8560, 0.7500, 0.8829)  6 Zn 2.71-2.84
Zn (0.8827, 0.2500, 0.0265)  6 Zn 2.71-2.84
Zn (0.9733, 0.2500, 0.8558)  6 Zn 2.71-2.84

Most favorable first, least favorable last: Q, P

P.
Computed, not measured: DyEr2Cu4Si2Ge2 after structural relaxation at the PBE level of DFT.

a = 7.9089 Å, b = 7.9089 Å, c = 7.9089 Å
α = 149.82°, β = 130.65°, γ = 58.94°
With the nearest neighbours (Å) after each atom.
Sites, in units of the cell vectors:
Dy (0.0000, 0.0000, 0.0000)  4 Ge 2.89, 2 Si 2.99
Er (0.3702, 0.8702, 0.5000)  2 Si 2.95, 6 Cu 2.96-2.98, 4 Ge 3.01
Er (0.6298, 0.1298, 0.5000)  2 Si 2.95, 6 Cu 2.96-2.98, 4 Ge 3.01
Cu (0.0169, 0.3261, 0.6908)  3 Si 2.49-2.54, 1 Ge 2.52, 1 Cu 2.52
Cu (0.3646, 0.6739, 0.6908)  3 Si 2.49-2.54, 1 Ge 2.52, 1 Cu 2.52
Cu (0.6354, 0.3261, 0.3092)  3 Si 2.49-2.54, 1 Ge 2.52, 1 Cu 2.52
Cu (0.9831, 0.6739, 0.3092)  3 Si 2.49-2.54, 1 Ge 2.52, 1 Cu 2.52
Si (0.2170, 0.2170, 0.0000)  6 Cu 2.49-2.54
Si (0.7830, 0.7830, 0.0000)  6 Cu 2.49-2.54
Ge (0.3077, 0.5000, 0.8077)  2 Cu 2.52, 1 Ge 2.54
Ge (0.6923, 0.5000, 0.1923)  2 Cu 2.52, 1 Ge 2.54

Q.
Computed, not measured: DyEr2Cu4Si2Ge2 after structural relaxation at the PBE level of DFT.

a = 7.9045 Å, b = 7.9045 Å, c = 7.9045 Å
α = 149.57°, β = 130.78°, γ = 58.98°
With the nearest neighbours (Å) after each atom.
Sites, in units of the cell vectors:
Dy (0.0000, 0.0000, 0.0000)  4 Si 2.94, 2 Ge 2.99
Er (0.3711, 0.8711, 0.5000)  6 Cu 2.94-3.11, 2 Ge 2.96, 4 Si 2.98
Er (0.6289, 0.1289, 0.5000)  6 Cu 2.94-3.11, 2 Ge 2.96, 4 Si 2.98
Cu (0.0272, 0.3359, 0.6913)  1 Si 2.40, 1 Cu 2.52, 3 Ge 2.53-2.61
Cu (0.3554, 0.6641, 0.6913)  1 Si 2.40, 1 Cu 2.52, 3 Ge 2.53-2.61
Cu (0.6446, 0.3359, 0.3087)  1 Si 2.40, 1 Cu 2.52, 3 Ge 2.53-2.61
Cu (0.9728, 0.6641, 0.3087)  1 Si 2.40, 1 Cu 2.52, 3 Ge 2.53-2.61
Si (0.3167, 0.5000, 0.8168)  2 Cu 2.40, 1 Si 2.41
Si (0.6832, 0.5000, 0.1832)  2 Cu 2.40, 1 Si 2.41
Ge (0.2172, 0.2172, 0.0000)  6 Cu 2.53-2.61
Ge (0.7828, 0.7828, 0.0000)  6 Cu 2.53-2.61

Most favorable first, least favorable last: P, Q